# PBE+U Pr3Co2O9, optimized geometry
# SG: No. 167
# N(E_F) (states/eV/cell): 11.9
# E (eV per cell): -195.51
data_Pr3Co2O9
_cell_length_a 6.874
_cell_length_b 6.874
_cell_length_c 6.874
_cell_angle_alpha 84.04
_cell_angle_beta 84.04
_cell_angle_gamma 84.04
_space_group_name_H-M_alt 'P 1'
_space_group_IT_number 1
loop_
_space_group_symop_operation_xyz
'x,y,z'
loop_
_atom_site_label
_atom_site_fract_x
_atom_site_fract_y
_atom_site_fract_z
O1 0.765 0.417 0.587
O2 0.083 0.735 0.913
O3 0.587 0.765 0.417
Pr1 0.250 0.910 0.590
O4 0.583 0.413 0.235
Co1 0.653 0.653 0.653
Co2 0.847 0.847 0.847
O5 0.410 0.090 0.250
O6 0.250 0.410 0.090
Pr2 0.750 0.090 0.410
O7 0.910 0.750 0.590
Co3 0.153 0.153 0.153
Pr3 0.590 0.250 0.910
O8 0.913 0.083 0.735
O9 0.590 0.910 0.750
Co4 0.347 0.347 0.347
O10 0.750 0.590 0.910
Pr4 0.410 0.750 0.090
O11 0.087 0.917 0.265
O12 0.413 0.235 0.583
O13 0.235 0.583 0.413
O14 0.265 0.087 0.917
O15 0.417 0.587 0.765
Pr5 0.090 0.410 0.750
Pr6 0.910 0.590 0.250
O16 0.917 0.265 0.087
O17 0.735 0.913 0.083
O18 0.090 0.250 0.410